The following is a DFT calculation (GGA-PBE) of a relaxed KRb3Au3 crystal.

Output
- V: 40.414 Å³ per atom
- Energy of formation: -0.24 eV per atom
- Total magnetic moment: 1.46 μB/cell
- DFT total energy: -15.50 eV/f.u.
- Offset from the most stable computed form: 0.0 kJ/mol of atoms

The structure in CIF format:
```
data_KRb3Au3
_chemical_formula_sum 'K3 Rb9 Au9'
_symmetry_space_group_name_H-M 'R 3 m'
_symmetry_Int_Tables_number 160
_symmetry_space_group_name_Hall 'R 3 -2"'
_cell_length_a 11.6356
_cell_length_b 11.6356
_cell_length_c 7.2385
_cell_angle_alpha 90.00
_cell_angle_beta 90.00
_cell_angle_gamma 120.00
loop_
_atom_site_label
_atom_site_type_symbol
_atom_site_fract_x
_atom_site_fract_y
_atom_site_fract_z
K1 K 0.0000 0.0000 0.0000
Rb1 Rb 0.0001 0.5001 0.0010
Au1 Au 0.9999 0.5000 0.5010
```